# LaNi2Se PBE optimized geometry
# Density: 7.39 g/cm3
# Formation energy (no corrections): -0.175 eV/atom
# DFT total energy: -41.4 eV/cell
data_LaNi2Se
_cell_length_a 5.118
_cell_length_b 5.127
_cell_length_c 5.744
_cell_angle_alpha 90.00
_cell_angle_beta 90.00
_cell_angle_gamma 90.00
_symmetry_space_group_name_H-M 'C m m m'
_symmetry_Int_Tables_number 65
_symmetry_space_group_name_Hall '-C 2 2'
loop_
_atom_site_label
_atom_site_type_symbol
_atom_site_fract_x
_atom_site_fract_y
_atom_site_fract_z
La1 La 0.000 0.000 0.000
Ni1 Ni 0.000 0.500 0.286
Se1 Se 0.000 0.000 0.500

# LaNi2Se PBE optimized geometry
# Density: 7.09 g/cm3
# Formation energy (no corrections): -0.599 eV/atom
# DFT total energy: -22.4 eV/cell
data_LaNi2Se
_cell_length_a 4.114
_cell_length_b 4.255
_cell_length_c 4.535
_cell_angle_alpha 90.00
_cell_angle_beta 98.44
_cell_angle_gamma 90.00
_symmetry_space_group_name_H-M 'P 1 m 1'
_symmetry_Int_Tables_number 6
_symmetry_space_group_name_Hall 'P -2y'
loop_
_atom_site_label
_atom_site_type_symbol
_atom_site_fract_x
_atom_site_fract_y
_atom_site_fract_z
La1 La 0.000 0.000 0.000
Ni1 Ni 0.518 0.000 0.489
Ni2 Ni 0.569 0.500 0.238
Se1 Se 0.439 0.500 0.723

# LaNi3Se PBE optimized geometry
# Density: 6.23 g/cm3
# Formation energy (no corrections): 1.146 eV/atom
# DFT total energy: -20.0 eV/cell
data_LaNi3Se
_cell_length_a 4.717
_cell_length_b 4.717
_cell_length_c 4.717
_cell_angle_alpha 90.00
_cell_angle_beta 90.00
_cell_angle_gamma 90.00
_symmetry_space_group_name_H-M 'P m -3 m'
_symmetry_Int_Tables_number 221
_symmetry_space_group_name_Hall '-P 4 2 3'
loop_
_atom_site_label
_atom_site_type_symbol
_atom_site_fract_x
_atom_site_fract_y
_atom_site_fract_z
La1 La 0.000 0.000 0.000
Ni1 Ni 0.000 0.000 0.500
Se1 Se 0.500 0.500 0.500

# LaNi2Se PBE optimized geometry
# Density: 7.51 g/cm3
# Formation energy (no corrections): -0.291 eV/atom
# DFT total energy: -42.3 eV/cell
data_LaNi2Se
_cell_length_a 4.171
_cell_length_b 4.171
_cell_length_c 8.520
_cell_angle_alpha 90.00
_cell_angle_beta 90.00
_cell_angle_gamma 90.00
_symmetry_space_group_name_H-M 'I 4/m m m'
_symmetry_Int_Tables_number 139
_symmetry_space_group_name_Hall '-I 4 2'
loop_
_atom_site_label
_atom_site_type_symbol
_atom_site_fract_x
_atom_site_fract_y
_atom_site_fract_z
La1 La 0.000 0.000 0.000
Ni1 Ni 0.000 0.500 0.250
Se1 Se 0.000 0.000 0.500

# LaNi2Se PBE optimized geometry
# Density: 7.30 g/cm3
# Formation energy (no corrections): -0.308 eV/atom
# DFT total energy: -84.8 eV/cell
data_LaNi2Se
_cell_length_a 5.823
_cell_length_b 6.594
_cell_length_c 7.947
_cell_angle_alpha 90.00
_cell_angle_beta 90.00
_cell_angle_gamma 90.00
_symmetry_space_group_name_H-M 'F m m m'
_symmetry_Int_Tables_number 69
_symmetry_space_group_name_Hall '-F 2 2'
loop_
_atom_site_label
_atom_site_type_symbol
_atom_site_fract_x
_atom_site_fract_y
_atom_site_fract_z
La1 La 0.000 0.000 0.000
Ni1 Ni 0.000 0.250 0.250
Se1 Se 0.000 0.000 0.500

# LaNi2Se PBE optimized geometry
# Density: 7.70 g/cm3
# Formation energy (no corrections): -0.515 eV/atom
# DFT total energy: -44.1 eV/cell
data_LaNi2Se
_cell_length_a 7.164
_cell_length_b 4.142
_cell_length_c 5.426
_cell_angle_alpha 90.00
_cell_angle_beta 116.04
_cell_angle_gamma 90.00
_symmetry_space_group_name_H-M 'C 1 2/m 1'
_symmetry_Int_Tables_number 12
_symmetry_space_group_name_Hall '-C 2y'
loop_
_atom_site_label
_atom_site_type_symbol
_atom_site_fract_x
_atom_site_fract_y
_atom_site_fract_z
La1 La 0.000 0.000 0.000
Ni1 Ni 0.203 0.000 0.609
Se1 Se 0.000 0.500 0.500

# LaNi2Se PBE optimized geometry
# Density: 7.48 g/cm3
# Formation energy (no corrections): -0.277 eV/atom
# DFT total energy: -21.1 eV/cell
data_LaNi2Se
_cell_length_a 4.015
_cell_length_b 4.274
_cell_length_c 4.340
_cell_angle_alpha 90.00
_cell_angle_beta 90.00
_cell_angle_gamma 90.00
_symmetry_space_group_name_H-M 'P m m m'
_symmetry_Int_Tables_number 47
_symmetry_space_group_name_Hall '-P 2 2'
loop_
_atom_site_label
_atom_site_type_symbol
_atom_site_fract_x
_atom_site_fract_y
_atom_site_fract_z
La1 La 0.000 0.000 0.000
Ni1 Ni 0.000 0.500 0.500
Ni2 Ni 0.500 0.500 0.000
Se1 Se 0.500 0.000 0.500

# La4NiSe PBE optimized geometry
# Density: 6.61 g/cm3
# Formation energy (no corrections): 0.313 eV/atom
# DFT total energy: -108.4 eV/cell
data_La4NiSe
_cell_length_a 8.867
_cell_length_b 8.867
_cell_length_c 8.867
_cell_angle_alpha 90.00
_cell_angle_beta 90.00
_cell_angle_gamma 90.00
_symmetry_space_group_name_H-M 'F -4 3 m'
_symmetry_Int_Tables_number 216
_symmetry_space_group_name_Hall 'F -4 2 3'
loop_
_atom_site_label
_atom_site_type_symbol
_atom_site_fract_x
_atom_site_fract_y
_atom_site_fract_z
La1 La 0.124 0.124 0.376
Ni1 Ni 0.000 0.000 0.000
Se1 Se 0.250 0.250 0.750

# LaTaNi2Se PBE optimized geometry
# Density: 7.92 g/cm3
# Formation energy (no corrections): -0.121 eV/atom
# DFT total energy: -32.4 eV/cell
data_LaTaNi2Se
_cell_length_a 4.680
_cell_length_b 4.680
_cell_length_c 4.939
_cell_angle_alpha 90.00
_cell_angle_beta 90.00
_cell_angle_gamma 90.00
_symmetry_space_group_name_H-M 'P 4/m m m'
_symmetry_Int_Tables_number 123
_symmetry_space_group_name_Hall '-P 4 2'
loop_
_atom_site_label
_atom_site_type_symbol
_atom_site_fract_x
_atom_site_fract_y
_atom_site_fract_z
La1 La 0.000 0.000 0.000
Ta1 Ta 0.500 0.500 0.500
Ni1 Ni 0.000 0.500 0.500
Se1 Se 0.500 0.500 0.000

# LaSi2Ni PBE optimized geometry
# Density: 6.05 g/cm3
# Formation energy (no corrections): -0.292 eV/atom
# DFT total energy: -22.7 eV/cell
data_LaSi2Ni
_cell_length_a 2.994
_cell_length_b 3.445
_cell_length_c 6.752
_cell_angle_alpha 90.00
_cell_angle_beta 90.00
_cell_angle_gamma 90.00
_symmetry_space_group_name_H-M 'P m m m'
_symmetry_Int_Tables_number 47
_symmetry_space_group_name_Hall '-P 2 2'
loop_
_atom_site_label
_atom_site_type_symbol
_atom_site_fract_x
_atom_site_fract_y
_atom_site_fract_z
La1 La 0.000 0.000 0.000
Si1 Si 0.500 0.500 0.325
Ni1 Ni 0.000 0.000 0.500

# LaSi2Ni PBE optimized geometry
# Density: 5.62 g/cm3
# Formation energy (no corrections): -0.162 eV/atom
# DFT total energy: -44.4 eV/cell
data_LaSi2Ni
_cell_length_a 2.917
_cell_length_b 5.584
_cell_length_c 9.211
_cell_angle_alpha 90.00
_cell_angle_beta 90.00
_cell_angle_gamma 90.00
_symmetry_space_group_name_H-M 'I m m m'
_symmetry_Int_Tables_number 71
_symmetry_space_group_name_Hall '-I 2 2'
loop_
_atom_site_label
_atom_site_type_symbol
_atom_site_fract_x
_atom_site_fract_y
_atom_site_fract_z
La1 La 0.000 0.000 0.000
Si1 Si 0.000 0.500 0.201
Ni1 Ni 0.000 0.000 0.500

# LaSi2Ni PBE optimized geometry
# Density: 5.72 g/cm3
# Formation energy (no corrections): -0.021 eV/atom
# DFT total energy: -86.6 eV/cell
data_LaSi2Ni
_cell_length_a 6.656
_cell_length_b 6.656
_cell_length_c 6.656
_cell_angle_alpha 90.00
_cell_angle_beta 90.00
_cell_angle_gamma 90.00
_symmetry_space_group_name_H-M 'F m -3 m'
_symmetry_Int_Tables_number 225
_symmetry_space_group_name_Hall '-F 4 2 3'
loop_
_atom_site_label
_atom_site_type_symbol
_atom_site_fract_x
_atom_site_fract_y
_atom_site_fract_z
La1 La 0.000 0.000 0.000
Si1 Si 0.250 0.250 0.250
Ni1 Ni 0.000 0.000 0.500